i:
Here is a relaxed Cd3In2Hg7 crystal from Alexandria via LeMat-Bulk. Energies are from PBE.

Geometry as CIF:
```
data_Cd3In2Hg7
_cell_length_a 5.3131
_cell_length_b 3.3191
_cell_length_c 17.9847
_cell_angle_alpha 90.00
_cell_angle_beta 92.59
_cell_angle_gamma 90.00
_symmetry_space_group_name_H-M 'P 1 2/m 1'
_symmetry_Int_Tables_number 10
loop_
_symmetry_equiv_pos_as_xyz
'x,y,z'
'-x,-y,-z'
'-x,y,-z'
'x,-y,z'
loop_
_atom_site_label
_atom_site_fract_x
_atom_site_fract_y
_atom_site_fract_z
Cd1 0.0000 0.0000 0.0000
Cd2 0.3834 0.5000 0.6305
In1 0.0696 0.0000 0.3003
Hg1 0.0461 0.5000 0.1430
Hg2 0.2396 0.0000 0.4657
Hg3 0.4469 0.0000 0.8026
Hg4 0.5000 0.5000 0.0000
```

ii:
Here is a relaxed Cd3In2Hg7 crystal from Alexandria via LeMat-Bulk. Energies are from PBE.

Geometry as CIF:
```
data_Cd3In2Hg7
_cell_length_a 6.8986
_cell_length_b 3.2000
_cell_length_c 14.1038
_cell_angle_alpha 90.00
_cell_angle_beta 94.12
_cell_angle_gamma 90.00
_symmetry_space_group_name_H-M 'P 1 2/m 1'
_symmetry_Int_Tables_number 10
loop_
_symmetry_equiv_pos_as_xyz
'x,y,z'
'-x,-y,-z'
'-x,y,-z'
'x,-y,z'
loop_
_atom_site_label
_atom_site_fract_x
_atom_site_fract_y
_atom_site_fract_z
Cd1 0.0000 0.0000 0.0000
Cd2 0.0153 0.5000 0.6593
In1 0.4594 0.0000 0.3246
Hg1 0.2174 0.5000 0.1613
Hg2 0.2396 0.0000 0.5051
Hg3 0.2473 0.0000 0.8293
Hg4 0.5000 0.5000 0.0000
```

Stability summary - winner: ii; margin: 0.016 eV/atom.

i:
Here is a relaxed Cd2In12Hg5 crystal from Alexandria via LeMat-Bulk. Energies are from PBE.

Geometry as CIF:
```
data_Cd2In12Hg5
_cell_length_a 17.6315
_cell_length_b 9.7745
_cell_length_c 5.9899
_cell_angle_alpha 90.00
_cell_angle_beta 95.59
_cell_angle_gamma 90.00
_symmetry_space_group_name_H-M 'C 1 2/m 1'
_symmetry_Int_Tables_number 12
loop_
_symmetry_equiv_pos_as_xyz
'x,y,z'
'-x,-y,-z'
'-x,y,-z'
'x,-y,z'
'x+1/2,y+1/2,z'
'-x+1/2,-y+1/2,-z'
'-x+1/2,y+1/2,-z'
'x+1/2,-y+1/2,z'
loop_
_atom_site_label
_atom_site_fract_x
_atom_site_fract_y
_atom_site_fract_z
Cd1 0.0000 0.2240 0.0000
In1 0.0482 0.5000 0.2529
In2 0.0965 0.2600 0.6066
In3 0.1235 0.0000 0.0150
In4 0.2003 0.2784 0.2071
Hg1 0.0000 0.0000 0.5000
Hg2 0.1793 0.5000 0.8363
Hg3 0.2027 0.0000 0.5431
```

ii:
Here is a relaxed Cd2In12Hg5 crystal from Alexandria via LeMat-Bulk. Energies are from PBE.

Geometry as CIF:
```
data_Cd2In12Hg5
_cell_length_a 16.2643
_cell_length_b 9.3770
_cell_length_c 7.5021
_cell_angle_alpha 90.00
_cell_angle_beta 116.06
_cell_angle_gamma 90.00
_symmetry_space_group_name_H-M 'C 1 2/m 1'
_symmetry_Int_Tables_number 12
loop_
_symmetry_equiv_pos_as_xyz
'x,y,z'
'-x,-y,-z'
'-x,y,-z'
'x,-y,z'
'x+1/2,y+1/2,z'
'-x+1/2,-y+1/2,-z'
'-x+1/2,y+1/2,-z'
'x+1/2,-y+1/2,z'
loop_
_atom_site_label
_atom_site_fract_x
_atom_site_fract_y
_atom_site_fract_z
Cd1 0.0000 0.2027 0.0000
In1 0.0294 0.0000 0.7190
In2 0.0852 0.5000 0.2025
In3 0.1404 0.3095 0.8586
In4 0.1461 0.2247 0.4570
Hg1 0.0000 0.5000 0.5000
Hg2 0.2050 0.0000 0.2206
Hg3 0.2290 0.0000 0.7897
```

Stability summary - winner: i; margin: 0.013 eV/atom.

i:
Here is a relaxed CdIn12Hg7 crystal from Alexandria via LeMat-Bulk. Energies are from PBE.

Geometry as CIF:
```
data_CdIn12Hg7
_cell_length_a 12.3907
_cell_length_b 12.3907
_cell_length_c 12.1040
_cell_angle_alpha 90.00
_cell_angle_beta 90.00
_cell_angle_gamma 120.00
_symmetry_space_group_name_H-M 'R -3 m'
_symmetry_Int_Tables_number 166
_symmetry_space_group_name_Hall '-R 3 2"'
loop_
_atom_site_label
_atom_site_fract_x
_atom_site_fract_y
_atom_site_fract_z
Cd1 0.0000 0.0000 0.0000
In1 0.0000 0.2638 0.0000
In2 0.0419 0.5209 0.1244
Hg1 0.0000 0.0000 0.5000
Hg2 0.0853 0.1706 0.7678
```

ii:
Here is a relaxed CdIn12Hg7 crystal from Alexandria via LeMat-Bulk. Energies are from PBE.

Geometry as CIF:
```
data_CdIn12Hg7
_cell_length_a 12.4040
_cell_length_b 12.4040
_cell_length_c 12.3786
_cell_angle_alpha 90.00
_cell_angle_beta 90.00
_cell_angle_gamma 120.00
_symmetry_space_group_name_H-M 'R -3'
_symmetry_Int_Tables_number 148
_symmetry_space_group_name_Hall '-R 3'
loop_
_atom_site_label
_atom_site_fract_x
_atom_site_fract_y
_atom_site_fract_z
Cd1 0.0000 0.0000 0.0000
In1 0.0434 0.4554 0.7023
In2 0.0590 0.8099 0.4091
Hg1 0.0000 0.0000 0.5000
Hg2 0.0723 0.1757 0.7943
```

Stability summary - winner: i; margin: 0.013 eV/atom.

i:
Here is a relaxed Cd2InHg9 crystal from Alexandria via LeMat-Bulk. Energies are from PBE.

Geometry as CIF:
```
data_Cd2InHg9
_cell_length_a 10.6541
_cell_length_b 10.6541
_cell_length_c 3.2386
_cell_angle_alpha 90.00
_cell_angle_beta 90.00
_cell_angle_gamma 120.00
_symmetry_space_group_name_H-M 'P 6/m m m'
_symmetry_Int_Tables_number 191
_symmetry_space_group_name_Hall '-P 6 2'
loop_
_atom_site_label
_atom_site_fract_x
_atom_site_fract_y
_atom_site_fract_z
Cd1 0.3333 0.6667 0.0000
In1 0.0000 0.0000 0.0000
Hg1 0.0000 0.5000 0.0000
Hg2 0.1734 0.3468 0.5000
```

ii:
Here is a relaxed Cd2InHg9 crystal from Alexandria via LeMat-Bulk. Energies are from PBE.

Geometry as CIF:
```
data_Cd2InHg9
_cell_length_a 4.9873
_cell_length_b 4.9873
_cell_length_c 12.6755
_cell_angle_alpha 90.00
_cell_angle_beta 90.00
_cell_angle_gamma 90.00
_symmetry_space_group_name_H-M 'P 4/m m m'
_symmetry_Int_Tables_number 123
_symmetry_space_group_name_Hall '-P 4 2'
loop_
_atom_site_label
_atom_site_fract_x
_atom_site_fract_y
_atom_site_fract_z
Cd1 0.0000 0.0000 0.1634
In1 0.0000 0.0000 0.5000
Hg1 0.0000 0.5000 0.0000
Hg2 0.0000 0.5000 0.3311
Hg3 0.5000 0.5000 0.1674
Hg4 0.5000 0.5000 0.5000
```

Stability summary - winner: ii; margin: 0.006 eV/atom.

i:
Here is a relaxed Cd6In2Hg crystal from Alexandria via LeMat-Bulk. Energies are from PBE.

Geometry as CIF:
```
data_Cd6In2Hg
_cell_length_a 10.7323
_cell_length_b 6.1958
_cell_length_c 6.9183
_cell_angle_alpha 90.00
_cell_angle_beta 90.06
_cell_angle_gamma 90.00
_symmetry_space_group_name_H-M 'C 1 2/m 1'
_symmetry_Int_Tables_number 12
loop_
_symmetry_equiv_pos_as_xyz
'x,y,z'
'-x,-y,-z'
'-x,y,-z'
'x,-y,z'
'x+1/2,y+1/2,z'
'-x+1/2,-y+1/2,-z'
'-x+1/2,y+1/2,-z'
'x+1/2,-y+1/2,z'
loop_
_atom_site_label
_atom_site_fract_x
_atom_site_fract_y
_atom_site_fract_z
Cd1 0.0873 0.2380 0.3314
Cd2 0.1746 0.5000 0.6702
In1 0.1672 0.0000 0.8894
Hg1 0.0000 0.5000 0.0000
```

ii:
Here is a relaxed Cd6In2Hg crystal from Alexandria via LeMat-Bulk. Energies are from PBE.

Geometry as CIF:
```
data_Cd6In2Hg
_cell_length_a 14.1397
_cell_length_b 9.7063
_cell_length_c 3.2487
_cell_angle_alpha 90.00
_cell_angle_beta 102.50
_cell_angle_gamma 90.00
_symmetry_space_group_name_H-M 'C 1 2/m 1'
_symmetry_Int_Tables_number 12
loop_
_symmetry_equiv_pos_as_xyz
'x,y,z'
'-x,-y,-z'
'-x,y,-z'
'x,-y,z'
'x+1/2,y+1/2,z'
'-x+1/2,-y+1/2,-z'
'-x+1/2,y+1/2,-z'
'x+1/2,-y+1/2,z'
loop_
_atom_site_label
_atom_site_fract_x
_atom_site_fract_y
_atom_site_fract_z
Cd1 0.0000 0.2096 0.0000
Cd2 0.1823 0.3399 0.6833
In1 0.1406 0.0000 0.6419
Hg1 0.0000 0.5000 0.5000
```

Stability summary - winner: ii; margin: 0.022 eV/atom.

i:
Here is a relaxed Cd12In2Hg5 crystal from Alexandria via LeMat-Bulk. Energies are from PBE.

Geometry as CIF:
```
data_Cd12In2Hg5
_cell_length_a 16.9198
_cell_length_b 6.2319
_cell_length_c 9.4988
_cell_angle_alpha 90.00
_cell_angle_beta 100.86
_cell_angle_gamma 90.00
_symmetry_space_group_name_H-M 'C 1 2/m 1'
_symmetry_Int_Tables_number 12
loop_
_symmetry_equiv_pos_as_xyz
'x,y,z'
'-x,-y,-z'
'-x,y,-z'
'x,-y,z'
'x+1/2,y+1/2,z'
'-x+1/2,-y+1/2,-z'
'-x+1/2,y+1/2,-z'
'x+1/2,-y+1/2,z'
loop_
_atom_site_label
_atom_site_fract_x
_atom_site_fract_y
_atom_site_fract_z
Cd1 0.0208 0.0000 0.3434
Cd2 0.0937 0.5000 0.2762
Cd3 0.1470 0.2541 0.6178
Cd4 0.2060 0.2581 0.1256
In1 0.0000 0.2532 0.0000
Hg1 0.0000 0.5000 0.5000
Hg2 0.1301 0.0000 0.8761
Hg3 0.2001 0.0000 0.3893
```

ii:
Here is a relaxed Cd12In2Hg5 crystal from Alexandria via LeMat-Bulk. Energies are from PBE.

Geometry as CIF:
```
data_Cd12In2Hg5
_cell_length_a 26.4715
_cell_length_b 6.4286
_cell_length_c 5.4006
_cell_angle_alpha 90.00
_cell_angle_beta 90.79
_cell_angle_gamma 90.00
_symmetry_space_group_name_H-M 'C 1 2/m 1'
_symmetry_Int_Tables_number 12
loop_
_symmetry_equiv_pos_as_xyz
'x,y,z'
'-x,-y,-z'
'-x,y,-z'
'x,-y,z'
'x+1/2,y+1/2,z'
'-x+1/2,-y+1/2,-z'
'-x+1/2,y+1/2,-z'
'x+1/2,-y+1/2,z'
loop_
_atom_site_label
_atom_site_fract_x
_atom_site_fract_y
_atom_site_fract_z
Cd1 0.0936 0.2379 0.1253
Cd2 0.1024 0.0000 0.6331
Cd3 0.1024 0.5000 0.6381
Cd4 0.2004 0.2478 0.8074
In1 0.0000 0.2438 0.5000
Hg1 0.0000 0.5000 0.0000
Hg2 0.1947 0.5000 0.2986
Hg3 0.2003 0.0000 0.3070
```

Stability summary - winner: ii; margin: 0.037 eV/atom.

i:
Here is a relaxed Cd4InHg crystal from Alexandria via LeMat-Bulk. Energies are from PBE.

Geometry as CIF:
```
data_Cd4InHg
_cell_length_a 5.6555
_cell_length_b 5.7899
_cell_length_c 9.6423
_cell_angle_alpha 72.86
_cell_angle_beta 73.42
_cell_angle_gamma 84.95
_symmetry_space_group_name_H-M 'P -1'
_symmetry_Int_Tables_number 2
loop_
_symmetry_equiv_pos_as_xyz
'x,y,z'
'-x,-y,-z'
loop_
_atom_site_label
_atom_site_fract_x
_atom_site_fract_y
_atom_site_fract_z
Cd1 0.0780 0.0641 0.3353
Cd2 0.1771 0.6376 0.1678
Cd3 0.3444 0.8053 0.8322
Cd4 0.4153 0.4004 0.6643
In1 0.2403 0.2221 0.9998
Hg1 0.0000 0.5000 0.5000
Hg2 0.5000 0.0000 0.5000
```

ii:
Here is a relaxed Cd4InHg crystal from Alexandria via LeMat-Bulk. Energies are from PBE.

Geometry as CIF:
```
data_Cd4InHg
_cell_length_a 8.4186
_cell_length_b 8.4186
_cell_length_c 8.4186
_cell_angle_alpha 90.00
_cell_angle_beta 90.00
_cell_angle_gamma 90.00
_symmetry_space_group_name_H-M 'F -4 3 m'
_symmetry_Int_Tables_number 216
_symmetry_space_group_name_Hall 'F -4 2 3'
loop_
_atom_site_label
_atom_site_fract_x
_atom_site_fract_y
_atom_site_fract_z
Cd1 0.1249 0.1249 0.1249
In1 0.0000 0.0000 0.5000
Hg1 0.2500 0.2500 0.7500
```

Stability summary - winner: i; margin: 0.034 eV/atom.

i:
Here is a relaxed CdInHg5 crystal from Alexandria via LeMat-Bulk. Energies are from PBE.

Geometry as CIF:
```
data_CdInHg5
_cell_length_a 4.7348
_cell_length_b 4.7348
_cell_length_c 8.5942
_cell_angle_alpha 90.00
_cell_angle_beta 90.00
_cell_angle_gamma 90.00
_symmetry_space_group_name_H-M 'P 4/m m m'
_symmetry_Int_Tables_number 123
_symmetry_space_group_name_Hall '-P 4 2'
loop_
_atom_site_label
_atom_site_fract_x
_atom_site_fract_y
_atom_site_fract_z
Cd1 0.0000 0.0000 0.0000
In1 0.0000 0.0000 0.5000
Hg1 0.0000 0.5000 0.2231
Hg2 0.5000 0.5000 0.5000
```

ii:
Here is a relaxed CdInHg5 crystal from Alexandria via LeMat-Bulk. Energies are from PBE.

Geometry as CIF:
```
data_CdInHg5
_cell_length_a 5.6319
_cell_length_b 8.5995
_cell_length_c 11.7267
_cell_angle_alpha 90.00
_cell_angle_beta 90.00
_cell_angle_gamma 90.00
_symmetry_space_group_name_H-M 'I m m m'
_symmetry_Int_Tables_number 71
_symmetry_space_group_name_Hall '-I 2 2'
loop_
_atom_site_label
_atom_site_fract_x
_atom_site_fract_y
_atom_site_fract_z
Cd1 0.0000 0.0000 0.0000
In1 0.0000 0.0000 0.5000
Hg1 0.0000 0.0000 0.2476
Hg2 0.0000 0.3293 0.0000
Hg3 0.0000 0.5000 0.5000
```

Stability summary - winner: i; margin: 0.114 eV/atom.